No. 1
## Tc2PtCl (PBE-GGA)

Data for a relaxed structure of Tc2PtCl.

Calculated values
- E (Ry/atom) = -0.463

Lattice parameters (Å, degrees): 4.4475 4.4475 4.4475 60.00 60.00 60.00
Fractional coordinates of all 4 atoms:
Pt1 0.7500 0.7500 0.7500
Cl1 0.5000 0.5000 0.5000
Tc1 0.0000 0.0000 0.0000
Tc2 0.2500 0.2500 0.2500

---

No. 2
## CsSnSe2 (PBE-GGA)

Data for a relaxed structure of CsSnSe2.

Calculated values
- E (Ry/atom) = -0.270

Lattice parameters (Å, degrees): 7.6795 9.3114 6.5535 107.02 81.31 32.80
Fractional coordinates of all 4 atoms:
Cs1 0.3704 0.6955 0.8962
Sn1 0.5912 0.9412 0.6629
Se1 0.2905 0.3707 0.5983
Se2 0.7218 0.5721 0.2822

---

No. 3
## Zr2NiTe (PBE-GGA)

Data for a relaxed structure of Zr2NiTe.

Calculated values
- E (Ry/atom) = -0.499

Lattice parameters (Å, degrees): 3.2961 3.2961 7.5475 90.00 90.00 100.64
Fractional coordinates of all 4 atoms:
Zr1 0.0000 0.0000 0.4689
Te1 0.5000 0.5000 0.7500
Ni1 0.5000 0.5000 0.2500
Zr2 0.0000 0.0000 0.0311

---

No. 4
## Fe12Pt17 (PBE-GGA)

Data for a relaxed structure of Fe12Pt17.

Calculated values
- E (Ry/atom) = -0.528
- energy relative to the elements (eV per atom) = -0.140

Lattice parameters (Å, degrees): 8.1547 8.1547 8.1547 109.47 109.47 109.47
Last column: magnetic moment on the atom in μB.
Fractional coordinates of all 29 atoms:
Fe1 0.8076 0.0000 0.6314  2.87
Fe2 0.1762 0.3686 0.3686  2.87
Fe3 0.8238 0.1924 0.1924  2.87
Pt1 0.3961 0.3961 0.7086  0.32
Pt2 0.6875 0.2914 0.6875  0.32
Fe4 0.1924 0.1924 0.8238  2.87
Pt3 0.7086 0.3961 0.3961  0.32
Fe5 0.6314 0.0000 0.8076  2.87
Fe6 0.3686 0.3686 0.1762  2.87
Pt4 0.6682 0.6682 0.6682  0.26
Pt5 0.0000 0.6039 0.3125  0.32
Pt6 0.3318 0.0000 0.0000  0.26
Pt7 0.3125 0.6039 0.0000  0.32
Pt8 0.3961 0.7086 0.3961  0.32
Pt9 0.0000 0.0000 0.3318  0.26
Pt10 0.2914 0.6875 0.6875  0.32
Pt11 0.0000 0.3125 0.6039  0.32
Fe7 0.0000 0.6314 0.8076  2.87
Pt12 0.6875 0.6875 0.2914  0.32
Pt13 0.0000 0.3318 0.0000  0.26
Pt14 0.6039 0.3125 0.0000  0.32
Fe8 0.1924 0.8238 0.1924  2.87
Fe9 0.6314 0.8076 0.0000  2.87
Pt15 0.0000 0.0000 0.0000  0.31
Pt16 0.6039 0.0000 0.3125  0.32
Fe10 0.0000 0.8076 0.6314  2.87
Fe11 0.3686 0.1762 0.3686  2.87
Fe12 0.8076 0.6314 0.0000  2.87
Pt17 0.3125 0.0000 0.6039  0.32

---

No. 5
## BaPdS4 (PBE-GGA)

Data for a relaxed structure of BaPdS4.

Calculated values
- E (Ry/atom) = -0.339

Lattice parameters (Å, degrees): 5.0050 7.0030 16.8846 90.00 90.00 90.00
Fractional coordinates of all 24 atoms:
S1 0.7905 0.0044 0.9957
Ba1 0.0000 0.2500 0.1443
S2 0.8133 0.3154 0.8110
S3 0.1867 0.1846 0.8110
S4 0.7095 0.0044 0.4957
S5 0.7095 0.5044 0.5043
S6 0.7905 0.5044 0.0043
Pd1 0.5000 0.7500 0.0845
S7 0.6867 0.8154 0.6890
S8 0.3133 0.6846 0.6890
Pd2 0.0000 0.7500 0.5845
S9 0.2095 0.4956 0.9957
S10 0.2905 0.9956 0.5043
Pd3 0.0000 0.2500 0.4155
S11 0.3133 0.1846 0.3110
S12 0.1867 0.6846 0.1890
Ba2 0.5000 0.7500 0.3557
S13 0.2905 0.4956 0.4957
Pd4 0.5000 0.2500 0.9155
Ba3 0.5000 0.2500 0.6443
S14 0.6867 0.3154 0.3110
S15 0.2095 0.9956 0.0043
Ba4 0.0000 0.7500 0.8557
S16 0.8133 0.8154 0.1890

---

No. 6
## NdAl2Ge2 (PBE-GGA)

Data for a relaxed structure of NdAl2Ge2.

Calculated values
- E (Ry/atom) = -0.348
- energy relative to the elements (eV per atom) = -0.443

Lattice parameters (Å, degrees): 4.2985 4.2985 6.8869 90.00 90.00 120.00
Fractional coordinates of all 5 atoms:
Ge1 0.3333 0.6667 0.2660
Al1 0.3333 0.6667 0.6420
Nd1 0.0000 0.0000 0.0000
Ge2 0.6667 0.3333 0.7340
Al2 0.6667 0.3333 0.3580

---

What is the E in the third record?
-0.499 Ry/atom

---

The lowest E belongs to which entry?
Fe12Pt17

---

What is the formula in the third record?
Zr2NiTe